TlCr2W | GGA-PBEsol | relaxed

Lattice parameters (Å, degrees): 3.109 3.109 6.260 90.00 90.00 90.00
Atoms (fractional coordinates):
Cr (0.000, 0.000, 0.017)
Cr (0.500, 0.500, 0.193)
Tl (0.000, 0.000, 0.483)
W (0.500, 0.500, 0.808)

Values from the calculation:
The value obtained for the energy is -8.624 eV/atom. The energy above the lowest structure with this stoichiometry is 141.3 meV/atom. As for the energy of formation from the pure elements: 0.606 eV per atom.

Y2TePt2 | GGA-PBEsol | relaxed

Lattice parameters (Å, degrees): 3.721 7.644 7.644 90.00 90.00 90.00
Atoms (fractional coordinates):
Y (0.500, 0.171, 0.671)
Y (0.500, 0.671, 0.829)
Y (0.500, 0.829, 0.329)
Y (0.500, 0.329, 0.171)
Te (0.000, 0.000, 0.000)
Te (0.000, 0.500, 0.500)
Pt (0.000, 0.374, 0.874)
Pt (0.000, 0.874, 0.626)
Pt (0.000, 0.626, 0.126)
Pt (0.000, 0.126, 0.374)

Values from the calculation:
The value obtained for the energy is -7.390 eV/atom. The calculation puts the formation energy without anion corrections at -1.170 eV per atom.

Y4HgIr | GGA-PBEsol | relaxed

Lattice parameters (Å, degrees): 5.857 5.857 5.857 60.00 60.00 60.00
Atoms (fractional coordinates):
Hg (0.750, 0.750, 0.750)
Ir (0.000, 0.000, 0.000)
Y (0.374, 0.374, 0.374)
Y (0.374, 0.374, 0.879)
Y (0.879, 0.374, 0.374)
Y (0.374, 0.879, 0.374)

Values from the calculation:
The value obtained for the energy is -5.768 eV/atom. As for the energy of formation from the pure elements: 0.512 eV per atom.

SmSi3Rh | GGA-PBEsol | relaxed

Lattice parameters (Å, degrees): 4.171 4.171 5.685 111.52 111.52 90.00
Atoms (fractional coordinates):
Si (0.586, 0.586, 0.171)
Si (0.736, 0.236, 0.473)
Si (0.236, 0.736, 0.473)
Rh (0.347, 0.347, 0.693)
Sm (0.001, 0.001, 0.002)

Values from the calculation:
The value obtained for the energy is -6.970 eV/atom. The calculation puts the formation energy without anion corrections at -0.876 eV per atom.

BaCrP3 | GGA-PBEsol | relaxed

Lattice parameters (Å, degrees): 5.413 5.413 5.413 90.00 90.00 90.00
Site moments in Bohr magnetons follow the coordinates.
Atoms (fractional coordinates):
Cr (0.500, 0.500, 0.500)  4.16
Ba (0.000, 0.000, 0.000)  -0.01
P (0.000, 0.500, 0.000)  -0.18
P (0.000, 0.000, 0.500)  -0.18
P (0.500, 0.000, 0.000)  -0.18

Values from the calculation:
The value obtained for the energy is -4.091 eV/atom. As for the energy of formation from the pure elements: 1.862 eV per atom.

As2H2Ru | GGA-PBEsol | relaxed

Lattice parameters (Å, degrees): 2.999 2.999 6.299 103.77 103.77 90.00
Atoms (fractional coordinates):
Ru (0.000, 0.000, 0.000)
As (0.370, 0.370, 0.740)
As (0.630, 0.630, 0.260)
H (0.250, 0.750, 0.500)
H (0.750, 0.250, 0.500)

Values from the calculation:
The value obtained for the energy is -5.075 eV/atom.

Cu2PPt | GGA-PBEsol | relaxed

Lattice parameters (Å, degrees): 2.757 3.864 5.067 90.00 105.95 90.00
Atoms (fractional coordinates):
P (0.176, 0.000, 0.478)
Cu (0.941, 0.000, 0.006)
Cu (0.572, 0.500, 0.271)
Pt (0.311, 0.500, 0.745)

Values from the calculation:
The value obtained for the energy is -5.468 eV/atom. The energy above the lowest structure with this stoichiometry is 0.0 meV/atom. As for the energy of formation from the pure elements: -0.112 eV per atom.

RbNa2Au2 | GGA-PBEsol | relaxed

Lattice parameters (Å, degrees): 2.994 9.069 9.069 90.00 90.00 90.00
Atoms (fractional coordinates):
Na (0.500, 0.124, 0.624)
Na (0.500, 0.624, 0.876)
Na (0.500, 0.876, 0.376)
Na (0.500, 0.376, 0.124)
Au (0.000, 0.331, 0.831)
Au (0.000, 0.831, 0.669)
Au (0.000, 0.669, 0.169)
Au (0.000, 0.169, 0.331)
Rb (0.000, 0.000, 0.000)
Rb (0.000, 0.500, 0.500)

Values from the calculation:
The value obtained for the energy is -2.445 eV/atom. The energy above the lowest structure with this stoichiometry is 56.5 meV/atom. As for the energy of formation from the pure elements: -0.111 eV per atom.